(1)
PmPr2Sm3Se6 | PBE | optimized geometry

The magnetization comes out at 0.000 μB/cell. The uncorrected formation energy comes out at -1.8296 eV/atom. As for the density of states at the Fermi level: 0.48 states/eV per atom. The value obtained for the total energy is -5.944 eV per atom.

abc: 9.4057 9.4057 8.4653
angles: 103.20 103.20 25.73
Fractional coordinates of all 12 atoms:
Pm 0.0000 0.0000 0.0000
Pr 0.3330 0.3330 0.6663
Pr 0.6670 0.6670 0.3337
Sm 0.0000 0.0000 0.5000
Sm 0.3322 0.3322 0.1669
Sm 0.6678 0.6678 0.8331
Se 0.1647 0.1647 0.5876
Se 0.1666 0.1666 0.0774
Se 0.4978 0.4978 0.2503
Se 0.5022 0.5022 0.7497
Se 0.8334 0.8334 0.9226
Se 0.8353 0.8353 0.4124

(2)
PmPrSm2Se4 | PBE | optimized geometry

The magnetization comes out at 0.000 μB/cell. The uncorrected formation energy comes out at -1.8264 eV/atom. As for the density of states at the Fermi level: 0.62 states/eV per atom. The value obtained for the total energy is -5.940 eV per atom.

abc: 7.3083 4.1525 7.3103
angles: 90.00 108.88 90.00
Fractional coordinates of all 8 atoms:
Pm 0.0000 0.0000 0.0000
Pr 0.0000 0.5000 0.5000
Sm 0.5000 0.0000 0.5000
Sm 0.5000 0.5000 0.0000
Se 0.2542 0.5000 0.2488
Se 0.2562 0.0000 0.7547
Se 0.7438 0.0000 0.2453
Se 0.7458 0.5000 0.7512

(3)
SrPmPr2Se4 | PBE | optimized geometry

The magnetization comes out at 0.000 μB/cell. The uncorrected formation energy comes out at -1.8720 eV/atom. As for the density of states at the Fermi level: 0.41 states/eV per atom. The value obtained for the total energy is -5.613 eV per atom.

abc: 7.4223 4.2548 7.4389
angles: 90.00 109.05 90.00
Fractional coordinates of all 8 atoms:
Sr 0.0000 0.0000 0.0000
Pm 0.5000 0.5000 0.0000
Pr 0.0000 0.5000 0.5000
Pr 0.5000 0.0000 0.5000
Se 0.2545 0.0000 0.7534
Se 0.2547 0.5000 0.2506
Se 0.7455 0.0000 0.2466
Se 0.7453 0.5000 0.7494

(4)
SrPm3Pr4Se8 | PBE | optimized geometry

The magnetization comes out at 0.000 μB/cell. The uncorrected formation energy comes out at -1.8503 eV/atom. As for the density of states at the Fermi level: 0.52 states/eV per atom. The value obtained for the total energy is -5.783 eV per atom.

abc: 8.5223 8.5223 8.5223
angles: 59.85 59.85 59.85
Fractional coordinates of all 16 atoms:
Sr 0.0000 0.0000 0.0000
Pm 0.0000 0.5000 0.5000
Pm 0.5000 0.0000 0.5000
Pm 0.5000 0.5000 0.0000
Pr 0.0000 0.0000 0.5000
Pr 0.0000 0.5000 0.0000
Pr 0.5000 0.0000 0.0000
Pr 0.5000 0.5000 0.5000
Se 0.2506 0.2506 0.7453
Se 0.2506 0.7453 0.2506
Se 0.2520 0.2520 0.2520
Se 0.2547 0.7494 0.7494
Se 0.7453 0.2506 0.2506
Se 0.7480 0.7480 0.7480
Se 0.7494 0.2547 0.7494
Se 0.7494 0.7494 0.2547

(5)
SrPmPr4Se8 | PBE | optimized geometry

The magnetization comes out at 0.000 μB/cell. The uncorrected formation energy comes out at -1.8023 eV/atom. As for the density of states at the Fermi level: 0.26 states/eV per atom. The value obtained for the total energy is -5.618 eV per atom.

abc: 8.7977 8.7977 8.7977
angles: 60.21 60.21 60.21
Fractional coordinates of all 14 atoms:
Sr 0.0000 0.0000 0.0000
Pm 0.6265 0.6265 0.6265
Pr 0.1193 0.6264 0.6264
Pr 0.2491 0.2491 0.2491
Pr 0.6264 0.1193 0.6264
Pr 0.6264 0.6264 0.1193
Se 0.3822 0.3822 0.3822
Se 0.3849 0.3849 0.8494
Se 0.3849 0.8494 0.3849
Se 0.4095 0.8610 0.8610
Se 0.8494 0.3849 0.3849
Se 0.8610 0.4095 0.8610
Se 0.8610 0.8610 0.4095
Se 0.8634 0.8634 0.8634

(6)
Tb4PmPrSe8 | PBE | optimized geometry

The magnetization comes out at 0.000 μB/cell. The uncorrected formation energy comes out at -1.7237 eV/atom. As for the density of states at the Fermi level: 0.62 states/eV per atom. The value obtained for the total energy is -5.719 eV per atom.

abc: 8.5588 8.5588 8.5588
angles: 59.68 59.68 59.68
Fractional coordinates of all 14 atoms:
Tb 0.0000 0.0000 0.0000
Tb 0.1230 0.6266 0.6266
Tb 0.6266 0.1230 0.6266
Tb 0.6266 0.6266 0.1230
Pm 0.6266 0.6266 0.6266
Pr 0.2520 0.2520 0.2520
Se 0.3825 0.3825 0.8453
Se 0.3825 0.8453 0.3825
Se 0.3877 0.3877 0.3877
Se 0.3943 0.8730 0.8730
Se 0.8453 0.3825 0.3825
Se 0.8682 0.8682 0.8682
Se 0.8730 0.3943 0.8730
Se 0.8730 0.8730 0.3943

(7)
TbPm4PrSe8 | PBE | optimized geometry

The magnetization comes out at 0.000 μB/cell. The uncorrected formation energy comes out at -1.7294 eV/atom. As for the density of states at the Fermi level: 0.64 states/eV per atom. The value obtained for the total energy is -5.750 eV per atom.

abc: 8.6445 8.6445 8.6445
angles: 59.87 59.87 59.87
Fractional coordinates of all 14 atoms:
Tb 0.0000 0.0000 0.0000
Pm 0.1229 0.6263 0.6263
Pm 0.2509 0.2509 0.2509
Pm 0.6263 0.1229 0.6263
Pm 0.6263 0.6263 0.1229
Pr 0.6264 0.6264 0.6264
Se 0.3808 0.3808 0.8533
Se 0.3808 0.8533 0.3808
Se 0.3837 0.3837 0.3837
Se 0.3894 0.8730 0.8730
Se 0.8533 0.3808 0.3808
Se 0.8699 0.8699 0.8699
Se 0.8730 0.3894 0.8730
Se 0.8730 0.8730 0.3894

(8)
TbPm3Pr2Se6 | PBE | optimized geometry

The magnetization comes out at 0.000 μB/cell. The uncorrected formation energy comes out at -1.8260 eV/atom. As for the density of states at the Fermi level: 0.48 states/eV per atom. The value obtained for the total energy is -5.938 eV per atom.

abc: 9.3827 9.3827 8.4534
angles: 102.80 102.80 25.78
Fractional coordinates of all 12 atoms:
Tb 0.0000 0.0000 0.0000
Pm 0.0000 0.0000 0.5000
Pm 0.3299 0.3299 0.1663
Pm 0.6701 0.6701 0.8337
Pr 0.3321 0.3321 0.6645
Pr 0.6679 0.6679 0.3355
Se 0.1627 0.1627 0.0774
Se 0.1646 0.1646 0.5866
Se 0.4977 0.4977 0.2421
Se 0.5023 0.5023 0.7579
Se 0.8354 0.8354 0.4134
Se 0.8373 0.8373 0.9226

(9)
Tb3PmPr4Se8 | PBE | optimized geometry

The magnetization comes out at 0.000 μB/cell. The uncorrected formation energy comes out at -1.8146 eV/atom. As for the density of states at the Fermi level: 0.61 states/eV per atom. The value obtained for the total energy is -5.917 eV per atom.

abc: 8.4596 8.4596 8.4596
angles: 58.95 58.95 58.95
Fractional coordinates of all 16 atoms:
Tb 0.0000 0.5000 0.5000
Tb 0.5000 0.0000 0.5000
Tb 0.5000 0.5000 0.0000
Pm 0.0000 0.0000 0.0000
Pr 0.0000 0.0000 0.5000
Pr 0.0000 0.5000 0.0000
Pr 0.5000 0.0000 0.0000
Pr 0.5000 0.5000 0.5000
Se 0.2479 0.2479 0.7410
Se 0.2479 0.7410 0.2479
Se 0.2554 0.2554 0.2554
Se 0.2590 0.7521 0.7521
Se 0.7410 0.2479 0.2479
Se 0.7446 0.7446 0.7446
Se 0.7521 0.2590 0.7521
Se 0.7521 0.7521 0.2590

(10)
PmPr2Te2Se2 | PBE | optimized geometry

The magnetization comes out at 0.174 μB/cell. The uncorrected formation energy comes out at -1.2922 eV/atom. As for the density of states at the Fermi level: 0.41 states/eV per atom. The value obtained for the total energy is -5.230 eV per atom.

abc: 8.9136 8.9136 8.9136
angles: 144.45 144.45 51.16
Fractional coordinates of all 7 atoms:
Pm 0.0000 0.0000 0.0000
Pr 0.3834 0.3834 0.0000
Pr 0.6166 0.6166 0.0000
Te 0.1895 0.1895 0.0000
Te 0.8105 0.8105 0.0000
Se 0.0000 0.5000 0.5000
Se 0.5000 0.0000 0.5000

(11)
PmPrTe2Se | PBE | optimized geometry

The magnetization comes out at 0.000 μB/cell. The uncorrected formation energy comes out at -1.4406 eV/atom. As for the density of states at the Fermi level: 0.38 states/eV per atom. The value obtained for the total energy is -5.300 eV per atom.

abc: 4.4363 4.4363 15.9169
angles: 90.00 90.00 90.00
Fractional coordinates of all 10 atoms:
Pm 0.2500 0.2500 0.1279
Pm 0.7500 0.7500 0.8721
Pr 0.2500 0.2500 0.5936
Pr 0.7500 0.7500 0.4064
Te 0.2500 0.2500 0.3872
Te 0.2500 0.2500 0.7963
Te 0.7500 0.7500 0.2037
Te 0.7500 0.7500 0.6128
Se 0.2500 0.7500 0.0000
Se 0.7500 0.2500 0.0000

(12)
PmPrTeSe2 | PBE | optimized geometry

The magnetization comes out at 0.000 μB/cell. The uncorrected formation energy comes out at -1.4077 eV/atom. The value obtained for the total energy is -5.336 eV per atom.

abc: 8.0015 8.0015 8.0015
angles: 145.72 145.72 49.26
Fractional coordinates of all 5 atoms:
Pm 0.0000 0.0000 0.0000
Pr 0.2749 0.2749 0.0000
Te 0.6398 0.6398 0.0000
Se 0.3904 0.8904 0.5000
Se 0.8904 0.3904 0.5000